No. 1
Computed, not measured: an optimized crystal structure of Be4OsPb at the PBE level of DFT. Values from VASP.

Properties
Formation energy (eV/atom): 0.210
Crystal system: cubic
Symmetry: F-43m

Structure (Quantum ESPRESSO input):
```
&SYSTEM
  ibrav = 0, nat = 6, ntyp = 3
/
ATOMIC_SPECIES
Be 9.01 Be.upf
Os 190.23 Os.upf
Pb 207.20 Pb.upf
CELL_PARAMETERS angstrom
0.000 3.256 3.256
3.256 0.000 3.256
3.256 3.256 0.000
ATOMIC_POSITIONS crystal
Be 0.123 0.123 0.123
Be 0.123 0.123 0.631
Be 0.123 0.631 0.123
Be 0.631 0.123 0.123
Os 0.750 0.750 0.750
Pb 0.500 0.500 0.500
```

No. 2
Computed, not measured: an optimized crystal structure of Mg2ZrBr at the PBE level of DFT. Values from VASP.

Properties
ΔE_f (raw) (meV/atom): 147
Crystal system: tetragonal
ΔE to the lowest computed polymorph (meV/atom): 426
Symmetry: I-42d

Structure (Quantum ESPRESSO input):
```
&SYSTEM
  ibrav = 0, nat = 8, ntyp = 3
/
ATOMIC_SPECIES
Mg 24.30 Mg.upf
Zr 91.22 Zr.upf
Br 79.90 Br.upf
CELL_PARAMETERS angstrom
-4.060 4.060 2.884
4.060 -4.060 2.884
4.060 4.060 -2.884
ATOMIC_POSITIONS crystal
Mg 0.095 0.125 0.470
Mg 0.375 0.905 0.030
Mg 0.655 0.625 0.530
Mg 0.875 0.345 0.970
Zr 0.250 0.750 0.500
Zr 0.500 0.500 0.000
Br 0.000 0.000 0.000
Br 0.750 0.250 0.500
```

No. 3
Computed, not measured: an optimized crystal structure of AlRe2Ir at the PBE level of DFT. Values from VASP.

Properties
Formation energy (eV/atom): -0.085
Crystal system: trigonal
Symmetry: R-3m

Structure (Quantum ESPRESSO input):
```
&SYSTEM
  ibrav = 0, nat = 4, ntyp = 3
/
ATOMIC_SPECIES
Al 26.98 Al.upf
Re 186.21 Re.upf
Ir 192.22 Ir.upf
CELL_PARAMETERS angstrom
1.385 0.799 8.880
-1.385 0.799 8.880
0.000 -1.599 8.880
ATOMIC_POSITIONS crystal
Al 0.000 0.000 0.000
Re 0.250 0.250 0.250
Re 0.750 0.750 0.750
Ir 0.500 0.500 0.500
```

No. 4
Computed, not measured: an optimized crystal structure of YSbTe2Au at the PBE level of DFT. Values from VASP.

Properties
ΔE_f (raw) (meV/atom): 27
Crystal system: tetragonal
ΔE to the lowest computed polymorph (meV/atom): 0
Symmetry: P4/mmm

Structure (Quantum ESPRESSO input):
```
&SYSTEM
  ibrav = 0, nat = 5, ntyp = 4
/
ATOMIC_SPECIES
Y 88.91 Y.upf
Sb 121.76 Sb.upf
Te 127.60 Te.upf
Au 196.97 Au.upf
CELL_PARAMETERS angstrom
5.479 0.000 0.000
0.000 5.479 0.000
0.000 0.000 5.267
ATOMIC_POSITIONS crystal
Y 0.000 0.000 0.000
Sb 0.500 0.500 0.000
Te 0.000 0.500 0.500
Te 0.500 0.000 0.500
Au 0.500 0.500 0.500
```

What did the third record say?
Computed, not measured: an optimized crystal structure of AlRe2Ir at the PBE level of DFT. Values from VASP.

Properties
Formation energy (eV/atom): -0.085
Crystal system: trigonal
Symmetry: R-3m

Structure (Quantum ESPRESSO input):
```
&SYSTEM
  ibrav = 0, nat = 4, ntyp = 3
/
ATOMIC_SPECIES
Al 26.98 Al.upf
Re 186.21 Re.upf
Ir 192.22 Ir.upf
CELL_PARAMETERS angstrom
1.385 0.799 8.880
-1.385 0.799 8.880
0.000 -1.599 8.880
ATOMIC_POSITIONS crystal
Al 0.000 0.000 0.000
Re 0.250 0.250 0.250
Re 0.750 0.750 0.750
Ir 0.500 0.500 0.500
```